Record 1
# HoEr8Sc6, relaxed, DFT PBE
# calculated formation energy	2.860	eV per formula unit
data_HoEr8Sc6
_symmetry_space_group_name_H-M 'P 1'
_symmetry_Int_Tables_number 1
_cell_length_a 7.8486
_cell_length_b 7.8486
_cell_length_c 7.8486
_cell_angle_alpha 72.71
_cell_angle_beta 72.71
_cell_angle_gamma 72.71
loop_
_symmetry_equiv_pos_as_xyz
'x,y,z'
loop_
_atom_site_label
_atom_site_type_symbol
_atom_site_fract_x
_atom_site_fract_y
_atom_site_fract_z
Ho1 Ho 0.0000 0.0000 0.0000
Er1 Er 0.0675 0.7719 0.6375
Er2 Er 0.2281 0.3625 0.9325
Er3 Er 0.3625 0.9325 0.2281
Er4 Er 0.4090 0.4090 0.4090
Er5 Er 0.5910 0.5910 0.5910
Er6 Er 0.6375 0.0675 0.7719
Er7 Er 0.7719 0.6375 0.0675
Er8 Er 0.9325 0.2281 0.3625
Sc1 Sc 0.0571 0.6134 0.2900
Sc2 Sc 0.2900 0.0571 0.6134
Sc3 Sc 0.3866 0.7100 0.9429
Sc4 Sc 0.6134 0.2900 0.0571
Sc5 Sc 0.7100 0.9429 0.3866
Sc6 Sc 0.9429 0.3866 0.7100

***

Record 2
# HoEr4Sc2, relaxed, DFT PBE
# calculated formation energy	0.535	eV per formula unit
data_HoEr4Sc2
_symmetry_space_group_name_H-M 'P 1'
_symmetry_Int_Tables_number 1
_cell_length_a 6.4207
_cell_length_b 7.9419
_cell_length_c 8.4470
_cell_angle_alpha 91.01
_cell_angle_beta 99.31
_cell_angle_gamma 106.27
loop_
_symmetry_equiv_pos_as_xyz
'x,y,z'
loop_
_atom_site_label
_atom_site_type_symbol
_atom_site_fract_x
_atom_site_fract_y
_atom_site_fract_z
Ho1 Ho 0.0000 0.0000 0.0000
Ho2 Ho 0.4016 0.7867 0.1259
Er1 Er 0.1117 0.7170 0.7075
Er2 Er 0.2855 0.0585 0.4175
Er3 Er 0.3407 0.5405 0.4285
Er4 Er 0.4967 0.0766 0.8582
Er5 Er 0.6111 0.6423 0.8257
Er6 Er 0.8055 0.1954 0.2950
Er7 Er 0.8514 0.6610 0.3089
Er8 Er 0.9480 0.4229 0.9964
Sc1 Sc 0.1706 0.3004 0.7131
Sc2 Sc 0.4272 0.3607 0.1048
Sc3 Sc 0.7029 0.3555 0.6089
Sc4 Sc 0.7517 0.9476 0.5826

***

Record 3
# Ho12ErSc7, relaxed, DFT PBE
# calculated formation energy	3.438	eV per formula unit
data_Ho12ErSc7
_symmetry_space_group_name_H-M 'P 1'
_symmetry_Int_Tables_number 1
_cell_length_a 9.0072
_cell_length_b 9.0072
_cell_length_c 9.0072
_cell_angle_alpha 108.34
_cell_angle_beta 108.34
_cell_angle_gamma 108.34
loop_
_symmetry_equiv_pos_as_xyz
'x,y,z'
loop_
_atom_site_label
_atom_site_type_symbol
_atom_site_fract_x
_atom_site_fract_y
_atom_site_fract_z
Ho1 Ho 0.0937 0.4328 0.2038
Ho2 Ho 0.1170 0.3007 0.8253
Ho3 Ho 0.1747 0.8830 0.6993
Ho4 Ho 0.2038 0.0937 0.4328
Ho5 Ho 0.3007 0.8253 0.1170
Ho6 Ho 0.4328 0.2038 0.0937
Ho7 Ho 0.5672 0.7962 0.9063
Ho8 Ho 0.6993 0.1747 0.8830
Ho9 Ho 0.7962 0.9063 0.5672
Ho10 Ho 0.8253 0.1170 0.3007
Ho11 Ho 0.8830 0.6993 0.1747
Ho12 Ho 0.9063 0.5672 0.7962
Er1 Er 0.5000 0.5000 0.5000
Sc1 Sc 0.0000 0.0000 0.0000
Sc2 Sc 0.1850 0.5049 0.6052
Sc3 Sc 0.3948 0.8150 0.4951
Sc4 Sc 0.4951 0.3948 0.8150
Sc5 Sc 0.5049 0.6052 0.1850
Sc6 Sc 0.6052 0.1850 0.5049
Sc7 Sc 0.8150 0.4951 0.3948

***

Record 4
# HoErSc2, relaxed, DFT PBE
# calculated formation energy	0.188	eV per formula unit
data_HoErSc2
_symmetry_space_group_name_H-M 'P 1'
_symmetry_Int_Tables_number 1
_cell_length_a 11.0187
_cell_length_b 11.0187
_cell_length_c 11.0187
_cell_angle_alpha 17.90
_cell_angle_beta 17.90
_cell_angle_gamma 17.90
loop_
_symmetry_equiv_pos_as_xyz
'x,y,z'
loop_
_atom_site_label
_atom_site_type_symbol
_atom_site_fract_x
_atom_site_fract_y
_atom_site_fract_z
Ho1 Ho 0.0000 0.0000 0.0000
Er1 Er 0.8342 0.8342 0.8342
Sc1 Sc 0.2506 0.2506 0.2506
Sc2 Sc 0.4170 0.4170 0.4170

***

D(E_F) (computed, states/eV per cell): 23.80, 23.27, 38.22, 6.99
Total DFT energy (no corrections) (computed, eV/atom): -5.081, -4.994, -5.019, -5.404